Entry a
First-principles (PBE) data for a geometry-optimized Sn2Te2Br structure, as listed in Alexandria.

Cell: 4.328 6.082 7.437 Å, 114.14 106.92 90.00°
Element x y z (fractional)
Sn 0.684 0.184 0.368
Br 0.000 0.000 0.000
Te 0.651 0.651 0.303
Sn 0.316 0.816 0.632
Te 0.349 0.349 0.697

Summary:
V ... 33.9 A^3/atom
Total magnetic moment ... 0.000 μB per atom


Entry b
First-principles (PBE) data for a geometry-optimized Sn2Te2Br structure, as listed in Alexandria.

Cell: 5.427 5.427 7.255 Å, 68.04 68.04 90.00°
Element x y z (fractional)
Sn 0.750 0.250 0.500
Te 0.358 0.358 0.284
Br 0.000 0.000 0.000
Te 0.642 0.642 0.716
Sn 0.250 0.750 0.500

Summary:
V ... 36.3 A^3/atom
Total magnetic moment ... 0.000 μB per atom


The relative energies come out as entry a 0; entry b 189, with values in meV/atom.


Entry a
First-principles (PBE) data for a geometry-optimized Sn2Te2Br structure, as listed in Alexandria.

Cell: 4.304 6.174 12.960 Å, 90.06 90.00 90.00°
Element x y z (fractional)
Sn 0.250 0.750 0.397
Te 0.250 0.251 0.767
Te 0.250 0.250 0.413
Sn 0.750 0.250 0.603
Sn 0.750 0.249 0.229
Br 0.250 0.250 0.082
Br 0.750 0.750 0.918
Te 0.750 0.749 0.233
Te 0.750 0.750 0.587
Sn 0.250 0.751 0.771

Summary:
V ... 34.4 A^3/atom
Total magnetic moment ... 0.000 μB per atom


Entry b
First-principles (PBE) data for a geometry-optimized Sn2Te2Br structure, as listed in Alexandria.

Cell: 8.860 8.860 3.915 Å, 90.00 90.00 90.00°
Element x y z (fractional)
Te 0.360 0.860 0.000
Te 0.640 0.140 0.000
Sn 0.851 0.351 0.500
Sn 0.351 0.149 0.500
Te 0.140 0.360 0.000
Sn 0.149 0.649 0.500
Br 0.000 0.000 0.000
Sn 0.649 0.851 0.500
Te 0.860 0.640 0.000
Br 0.500 0.500 0.000

Summary:
V ... 30.7 A^3/atom
Total magnetic moment ... 0.000 μB per atom


The relative energies come out as entry a 0; entry b 245, with values in meV/atom.


Entry a
First-principles (PBE) data for a geometry-optimized SnTe3Br structure, as listed in Alexandria.

Cell: 5.586 5.586 5.586 Å, 90.00 90.00 90.00°
Element x y z (fractional)
Sn 0.500 0.500 0.500
Te 0.500 0.000 0.000
Te 0.000 0.000 0.500
Br 0.000 0.000 0.000
Te 0.000 0.500 0.000

Summary:
V ... 34.9 A^3/atom
Total magnetic moment ... 0.000 μB per atom


Entry b
First-principles (PBE) data for a geometry-optimized SnTe3Br structure, as listed in Alexandria.

Cell: 5.722 5.722 5.722 Å, 90.00 90.00 90.00°
Element x y z (fractional)
Sn 0.000 0.000 0.000
Te 0.000 0.500 0.000
Te 0.500 0.000 0.000
Te 0.000 0.000 0.500
Br 0.500 0.500 0.500

Summary:
V ... 37.5 A^3/atom
Total magnetic moment ... 0.000 μB per atom


The relative energies come out as entry a 94; entry b 0, with values in meV/atom.


Entry a
First-principles (PBE) data for a geometry-optimized Ti2SnBr structure, as listed in Alexandria.

Cell: 5.209 5.209 8.536 Å, 72.23 72.23 90.00°
Element x y z (fractional)
Ti 0.875 0.834 0.750
Sn 0.750 0.250 0.500
Ti 0.375 0.416 0.750
Br 0.500 0.500 0.000
Ti 0.166 0.625 0.250
Br 0.250 0.750 0.500
Ti 0.584 0.125 0.250
Sn 0.000 0.000 0.000

Summary:
V ... 26.1 A^3/atom
Total magnetic moment ... 0.744 μB per atom


Entry b
First-principles (PBE) data for a geometry-optimized Ti2SnBr structure, as listed in Alexandria.

Cell: 4.789 4.789 4.789 Å, 60.00 60.00 60.00°
Element x y z (fractional)
Sn 0.500 0.500 0.500
Br 0.000 0.000 0.000
Ti 0.250 0.250 0.250
Ti 0.750 0.750 0.750

Summary:
V ... 19.4 A^3/atom
Total magnetic moment ... 0.000 μB per atom


The relative energies come out as entry a 362; entry b 0, with values in meV/atom.


Entry a
First-principles (PBE) data for a geometry-optimized Ti3SnBr structure, as listed in Alexandria.

Cell: 5.272 5.272 5.272 Å, 90.00 90.00 90.00°
Element x y z (fractional)
Ti 0.000 0.000 0.500
Ti 0.000 0.500 0.000
Br 0.500 0.500 0.500
Ti 0.500 0.000 0.000
Sn 0.000 0.000 0.000

Summary:
V ... 29.3 A^3/atom
Total magnetic moment ... 1.357 μB per atom


Entry b
First-principles (PBE) data for a geometry-optimized Ti3SnBr structure, as listed in Alexandria.

Cell: 4.689 4.689 4.689 Å, 90.00 90.00 90.00°
Element x y z (fractional)
Ti 0.000 0.500 0.000
Ti 0.500 0.000 0.000
Br 0.000 0.000 0.000
Sn 0.500 0.500 0.500
Ti 0.000 0.000 0.500

Summary:
V ... 20.6 A^3/atom
Total magnetic moment ... 0.340 μB per atom


The relative energies come out as entry a 569; entry b 0, with values in meV/atom.


Entry a
First-principles (PBE) data for a geometry-optimized TlSn3Br structure, as listed in Alexandria.

Cell: 5.843 5.843 5.843 Å, 90.00 90.00 90.00°
Element x y z (fractional)
Tl 0.000 0.000 0.000
Sn 0.500 0.000 0.000
Br 0.500 0.500 0.500
Sn 0.000 0.000 0.500
Sn 0.000 0.500 0.000

Summary:
V ... 39.9 A^3/atom
Total magnetic moment ... 0.000 μB per atom


Entry b
First-principles (PBE) data for a geometry-optimized TlSn3Br structure, as listed in Alexandria.

Cell: 5.662 5.662 5.662 Å, 90.00 90.00 90.00°
Element x y z (fractional)
Sn 0.000 0.000 0.500
Sn 0.500 0.000 0.000
Tl 0.500 0.500 0.500
Sn 0.000 0.500 0.000
Br 0.000 0.000 0.000

Summary:
V ... 36.3 A^3/atom
Total magnetic moment ... 0.000 μB per atom


The relative energies come out as entry a 77; entry b 0, with values in meV/atom.